1.
Material: CaRhCl
Method: DFT, PBE-GGA
State: optimized geometry

Computed properties:
total DFT energy (no corrections): -4.3169 eV/atom
excess energy over the best structure of this formula in the dataset: 0.592 eV/atom
Fermi-level density of states: 0.06 states/eV/atom
theoretical density: 4.81 g/cm3

abc: 7.960 3.714 8.330
angles: 90.00 90.00 90.00
Fractional coordinates of all 12 atoms:
1 Ca 0.966 0.250 0.781
2 Ca 0.534 0.750 0.281
3 Ca 0.034 0.750 0.219
4 Ca 0.466 0.250 0.719
5 Rh 0.270 0.250 0.382
6 Rh 0.230 0.750 0.882
7 Rh 0.730 0.750 0.618
8 Rh 0.770 0.250 0.118
9 Cl 0.798 0.250 0.401
10 Cl 0.702 0.750 0.901
11 Cl 0.202 0.750 0.599
12 Cl 0.298 0.250 0.099


2.
Material: AcNd7Dy4
Method: DFT, PBE-GGA
State: optimized geometry

Computed properties:
total DFT energy (no corrections): -4.4278 eV/atom
energy of formation: 230 meV per atom
excess energy over the best structure of this formula in the dataset: 0.220 eV/atom
Fermi-level density of states: 1.64 states/eV/atom
theoretical density: 7.36 g/cm3

abc: 6.163 9.817 8.682
angles: 61.73 69.21 71.71
Fractional coordinates of all 12 atoms:
1 Ac 0.000 0.000 0.000
2 Nd 0.783 0.892 0.541
3 Nd 0.217 0.108 0.459
4 Nd 0.092 0.536 0.280
5 Nd 0.908 0.464 0.720
6 Nd 0.228 0.737 0.806
7 Nd 0.500 0.000 0.000
8 Nd 0.772 0.263 0.194
9 Dy 0.565 0.298 0.571
10 Dy 0.435 0.702 0.429
11 Dy 0.666 0.642 0.026
12 Dy 0.334 0.358 0.974


3.
Material: TmThInRh
Method: DFT, PBE-GGA
State: optimized geometry

Computed properties:
total DFT energy (no corrections): -5.9306 eV/atom
energy of formation: -435 meV per atom
Fermi-level density of states: 0.65 states/eV/atom
theoretical density: 10.50 g/cm3

abc: 5.172 5.172 5.172
angles: 60.00 60.00 60.00
Fractional coordinates of all 4 atoms:
1 Tm 0.750 0.750 0.750
2 Rh 0.000 0.000 0.000
3 Th 0.250 0.250 0.250
4 In 0.500 0.500 0.500


4.
Material: SiIr
Method: DFT, PBE-GGA
State: optimized geometry

Computed properties:
total DFT energy (no corrections): -7.3498 eV/atom
Fermi-level density of states: 0.29 states/eV/atom
theoretical density: 8.94 g/cm3

abc: 9.884 9.884 2.903
angles: 90.00 90.00 120.00
Fractional coordinates of all 12 atoms:
1 Si 0.701 0.096 0.250
2 Si 0.606 0.701 0.750
3 Si 0.904 0.606 0.250
4 Si 0.299 0.904 0.750
5 Si 0.394 0.299 0.250
6 Si 0.096 0.394 0.750
7 Ir 0.893 0.352 0.250
8 Ir 0.541 0.893 0.750
9 Ir 0.648 0.541 0.250
10 Ir 0.107 0.648 0.750
11 Ir 0.459 0.107 0.250
12 Ir 0.352 0.459 0.750